Below is an optimized crystal structure of Re3NiP, with properties calculated at the GGA-PBE level.

Formation energy (eV per atom): 1.0834
Total moment (μB/f.u.): 0.00
V (A^3/atom): 16.26

Unit cell a=4.332 b=4.332 c=4.332 alpha=90.00 beta=90.00 gamma=90.00
Fractional coordinates of all 5 atoms:
Re (0.000, 0.500, 0.000)
Re (0.000, 0.000, 0.500)
Re (0.500, 0.000, 0.000)
P (0.000, 0.000, 0.000)
Ni (0.500, 0.500, 0.500)

Below is an optimized crystal structure of Re2NiP, with properties calculated at the GGA-PBE level.

Formation energy (eV per atom): 0.3106
Total moment (μB/f.u.): 0.00
V (A^3/atom): 13.70

Unit cell a=2.737 b=2.737 c=8.048 alpha=90.00 beta=90.00 gamma=114.64
Fractional coordinates of all 4 atoms:
Re (0.000, 0.000, 0.023)
Re (0.500, 0.500, 0.743)
Ni (0.000, 0.000, 0.472)
P (0.500, 0.500, 0.262)

Below is an optimized crystal structure of Re2NiP, with properties calculated at the GGA-PBE level.

Formation energy (eV per atom): 0.0247
Total moment (μB/f.u.): 0.00
V (A^3/atom): 12.96

Unit cell a=2.911 b=2.911 c=6.120 alpha=90.00 beta=90.00 gamma=90.00
Fractional coordinates of all 4 atoms:
Re (0.000, 0.000, 0.732)
Re (0.000, 0.000, 0.268)
Ni (0.500, 0.500, 0.000)
P (0.500, 0.500, 0.500)

Below is an optimized crystal structure of ReNi2P, with properties calculated at the GGA-PBE level.

Formation energy (eV per atom): 0.0249
Total moment (μB/f.u.): 0.00
V (A^3/atom): 12.34

Unit cell a=4.546 b=4.546 c=2.644 alpha=90.00 beta=90.00 gamma=115.44
Fractional coordinates of all 4 atoms:
Re (0.000, 0.000, 0.500)
Ni (0.000, 0.500, 0.000)
Ni (0.500, 0.000, 0.000)
P (0.500, 0.500, 0.500)

Below is an optimized crystal structure of ReNi2P, with properties calculated at the GGA-PBE level.

Formation energy (eV per atom): -0.0624
Total moment (μB/f.u.): 0.00
V (A^3/atom): 11.94

Unit cell a=2.928 b=2.928 c=5.571 alpha=90.00 beta=90.00 gamma=90.00
Fractional coordinates of all 4 atoms:
Re (0.500, 0.500, 0.739)
Ni (0.000, 0.000, 0.019)
Ni (0.500, 0.500, 0.264)
P (0.000, 0.000, 0.478)

Below is an optimized crystal structure of Re2NiP, with properties calculated at the GGA-PBE level.

Formation energy (eV per atom): -0.0420
Total moment (μB/f.u.): 0.00
V (A^3/atom): 13.08

Unit cell a=2.866 b=2.866 c=6.370 alpha=90.00 beta=90.00 gamma=90.00
Fractional coordinates of all 4 atoms:
Re (0.000, 0.000, 0.971)
Re (0.500, 0.500, 0.255)
Ni (0.000, 0.000, 0.540)
P (0.500, 0.500, 0.734)

Below is an optimized crystal structure of ReNi3P, with properties calculated at the GGA-PBE level.

Formation energy (eV per atom): 1.6044
Total moment (μB/f.u.): 0.00
V (A^3/atom): 18.07

Unit cell a=4.487 b=4.487 c=4.487 alpha=90.00 beta=90.00 gamma=90.00
Fractional coordinates of all 5 atoms:
Re (0.000, 0.000, 0.000)
P (0.500, 0.500, 0.500)
Ni (0.000, 0.500, 0.000)
Ni (0.000, 0.000, 0.500)
Ni (0.500, 0.000, 0.000)

Below is an optimized crystal structure of Re2NiP8, with properties calculated at the GGA-PBE level.

Formation energy (eV per atom): -0.0367
Total moment (μB/f.u.): 0.00
V (A^3/atom): 17.16

Unit cell a=5.864 b=6.537 c=5.692 alpha=85.73 beta=117.32 gamma=103.00
Fractional coordinates of all 11 atoms:
Ni (0.000, 0.000, 0.000)
P (0.045, 0.145, 0.642)
P (0.647, 0.146, 0.966)
P (0.331, 0.249, 0.288)
P (0.955, 0.855, 0.358)
P (0.353, 0.854, 0.034)
P (0.669, 0.751, 0.712)
P (0.271, 0.710, 0.666)
P (0.729, 0.290, 0.334)
Re (0.424, 0.393, 0.688)
Re (0.576, 0.607, 0.312)

Please write out number 5 again, unchanged.
Below is an optimized crystal structure of ReNi2P, with properties calculated at the GGA-PBE level.

Formation energy (eV per atom): -0.0624
Total moment (μB/f.u.): 0.00
V (A^3/atom): 11.94

Unit cell a=2.928 b=2.928 c=5.571 alpha=90.00 beta=90.00 gamma=90.00
Fractional coordinates of all 4 atoms:
Re (0.500, 0.500, 0.739)
Ni (0.000, 0.000, 0.019)
Ni (0.500, 0.500, 0.264)
P (0.000, 0.000, 0.478)

Repeat the seventh record exactly.
Below is an optimized crystal structure of ReNi3P, with properties calculated at the GGA-PBE level.

Formation energy (eV per atom): 1.6044
Total moment (μB/f.u.): 0.00
V (A^3/atom): 18.07

Unit cell a=4.487 b=4.487 c=4.487 alpha=90.00 beta=90.00 gamma=90.00
Fractional coordinates of all 5 atoms:
Re (0.000, 0.000, 0.000)
P (0.500, 0.500, 0.500)
Ni (0.000, 0.500, 0.000)
Ni (0.000, 0.000, 0.500)
Ni (0.500, 0.000, 0.000)

formation energy of number 5 (ReNi2P)?
-0.0624 eV per atom